VASP calculation (PBE) on an optimized crystal structure of V2Mo7W2.

Results
Calculated formation energy (meV per atom): 311
Space-group type: C2/m (12)

Cell lengths 6.3399, 6.3399, 4.6898 Å; angles 104.25, 104.25, 93.28 degrees
With the nearest neighbours (Å) after each atom.
Fractional coordinates of all 11 atoms:
V 0.2313 0.7687 0.0000  4 Mo 2.47-2.66
V 0.7687 0.2313 0.0000  4 Mo 2.47-2.66
Mo 0.0000 0.0000 0.5000  8 Mo 2.61-2.85
Mo 0.0787 0.5947 0.3351  1 V 2.47, 4 Mo 2.52-2.71
Mo 0.1958 0.1958 0.1348  2 V 2.66, 1 W 2.67, 4 Mo 2.69-2.85
Mo 0.4053 0.9213 0.6649  1 V 2.47, 4 Mo 2.52-2.71
Mo 0.5947 0.0787 0.3351  1 V 2.47, 4 Mo 2.52-2.71
Mo 0.8042 0.8042 0.8652  2 V 2.66, 1 W 2.67, 4 Mo 2.69-2.85
Mo 0.9213 0.4053 0.6649  1 V 2.47, 4 Mo 2.52-2.71
W 0.4131 0.4131 0.7073  2 W 2.62-2.86, 3 Mo 2.67-2.88, 2 V 2.80
W 0.5869 0.5869 0.2927  2 W 2.62-2.86, 3 Mo 2.67-2.88, 2 V 2.80

***

VASP calculation (PBE) on an optimized crystal structure of SnP2CCl.

Results
Space-group type: P4/mmm (123)
Formation energy from raw total energies (eV per atom): 0.85

Cell lengths 3.9340, 3.9340, 6.2274 Å; angles 90.00, 90.00, 90.00 degrees
With the nearest neighbours (Å) after each atom.
Fractional coordinates of all 5 atoms:
Sn 0.0000 0.0000 0.0000  4 Cl 2.78
P 0.0000 0.5000 0.5000  2 C 1.97
P 0.5000 0.0000 0.5000  2 C 1.97
C 0.5000 0.5000 0.5000  4 P 1.97
Cl 0.5000 0.5000 0.0000  4 Sn 2.78, 2 C 3.11

***

VASP calculation (PBE) on an optimized crystal structure of Sn8Pd2Au.

Results
Calculated formation energy (meV per atom): -177
Space-group type: C2/m (12)

Cell lengths 7.0736, 7.0736, 5.7681 Å; angles 98.71, 98.71, 104.28 degrees
With the nearest neighbours (Å) after each atom.
Fractional coordinates of all 11 atoms:
Sn 0.1489 0.4177 0.3469  2 Pd 2.74-2.87, 2 Sn 3.00-3.03
Sn 0.1698 0.1698 0.7824  2 Pd 2.82, 1 Au 2.83
Sn 0.2455 0.7545 0.0000  1 Au 2.84, 2 Pd 2.96, 2 Sn 3.03
Sn 0.4177 0.1489 0.3469  2 Pd 2.74-2.87, 2 Sn 3.00-3.03
Sn 0.5823 0.8511 0.6531  2 Pd 2.74-2.87, 2 Sn 3.00-3.03
Sn 0.7545 0.2455 0.0000  1 Au 2.84, 2 Pd 2.96, 2 Sn 3.03
Sn 0.8302 0.8302 0.2176  2 Pd 2.82, 1 Au 2.83
Sn 0.8511 0.5823 0.6531  2 Pd 2.74-2.87, 2 Sn 3.00-3.03
Pd 0.1861 0.8139 0.5000  8 Sn 2.74-2.96
Pd 0.8139 0.1861 0.5000  8 Sn 2.74-2.96
Au 0.5000 0.5000 0.0000  4 Sn 2.83-2.84

***

VASP calculation (PBE) on an optimized crystal structure of SrGe2I.

Results
Space-group type: I-42d (122)
Formation energy from raw total energies (eV per atom): 0.08

Cell lengths 7.0648, 7.0648, 7.0648 Å; angles 100.91, 100.91, 128.42 degrees
With the nearest neighbours (Å) after each atom.
Fractional coordinates of all 8 atoms:
Sr 0.0000 0.0000 0.0000  2 I 3.07, 4 Ge 3.35
Sr 0.7500 0.2500 0.5000  2 I 3.07, 4 Ge 3.35
Ge 0.1376 0.6250 0.0126  2 Ge 3.08, 2 I 3.20, 2 Sr 3.35
Ge 0.3750 0.3876 0.5126  2 Ge 3.08, 2 I 3.20, 2 Sr 3.35
Ge 0.6124 0.1250 0.9874  2 Ge 3.08, 2 I 3.20, 2 Sr 3.35
Ge 0.8750 0.8624 0.4874  2 Ge 3.08, 2 I 3.20, 2 Sr 3.35
I 0.2500 0.7500 0.5000  2 Sr 3.07, 4 Ge 3.20
I 0.5000 0.5000 0.0000  2 Sr 3.07, 4 Ge 3.20

***

VASP calculation (PBE) on an optimized crystal structure of Nd3SmIr2.

Results
Calculated formation energy (meV per atom): -537
Space-group type: C2/m (12)

Cell lengths 8.6185, 8.6185, 11.1201 Å; angles 115.66, 115.66, 29.57 degrees
With the nearest neighbours (Å) after each atom.
Fractional coordinates of all 12 atoms:
Nd 0.0539 0.0539 0.2210  3 Ir 2.90-2.94
Nd 0.2105 0.2105 0.5928  3 Ir 2.89-2.92
Nd 0.3305 0.3305 0.9694  3 Ir 2.89-2.90
Nd 0.6695 0.6695 0.0306  3 Ir 2.89-2.90
Nd 0.7895 0.7895 0.4072  3 Ir 2.89-2.92
Nd 0.9461 0.9461 0.7790  3 Ir 2.90-2.94
Sm 0.4262 0.4262 0.3328  3 Ir 2.82-2.89
Sm 0.5738 0.5738 0.6672  3 Ir 2.82-2.89
Ir 0.1356 0.1356 0.8448  2 Sm 2.82, 4 Nd 2.89-2.90
Ir 0.3824 0.3824 0.5823  5 Nd 2.89-2.94, 2 Sm 2.89-3.17
Ir 0.6176 0.6176 0.4177  5 Nd 2.89-2.94, 2 Sm 2.89-3.17
Ir 0.8644 0.8644 0.1552  2 Sm 2.82, 4 Nd 2.89-2.90

***

VASP calculation (PBE) on an optimized crystal structure of SiHg2Mo.

Results
Space-group type: Cmm2 (35)
Formation energy from raw total energies (eV per atom): 0.39

Cell lengths 2.8214, 2.8214, 10.8650 Å; angles 90.00, 90.00, 106.43 degrees
With the nearest neighbours (Å) after each atom.
Fractional coordinates of all 4 atoms:
Si 0.0000 0.0000 0.0000  2 Mo 2.57, 4 Si 2.82
Hg 0.0000 0.0000 0.4050  4 Hg 2.82, 2 Mo 2.99
Hg 0.5000 0.5000 0.7183  4 Hg 2.82
Mo 0.5000 0.5000 0.1781  2 Si 2.57, 4 Mo 2.82

***

VASP calculation (PBE) on an optimized crystal structure of LiCa4Ni2.

Results
Calculated formation energy (meV per atom): 55
Space-group type: Cmcm (63)

Cell lengths 5.7061, 5.7061, 19.4146 Å; angles 90.00, 90.00, 137.93 degrees
With the nearest neighbours (Å) after each atom.
Fractional coordinates of all 14 atoms:
Li 0.1367 0.8633 0.7500  7 Ca 3.04-3.31
Li 0.8633 0.1367 0.2500  7 Ca 3.04-3.31
Ca 0.0000 0.0000 0.0000  6 Ni 3.00-3.14
Ca 0.0000 0.0000 0.5000  6 Ni 3.00-3.14
Ca 0.2843 0.7157 0.1233  3 Ni 2.77-2.96
Ca 0.2843 0.7157 0.3767  3 Ni 2.77-2.96
Ca 0.4221 0.5779 0.7500  3 Li 3.04-3.07
Ca 0.5779 0.4221 0.2500  3 Li 3.04-3.07
Ca 0.7157 0.2843 0.6233  3 Ni 2.77-2.96
Ca 0.7157 0.2843 0.8767  3 Ni 2.77-2.96
Ni 0.2793 0.7207 0.5191  2 Ni 2.27
Ni 0.2793 0.7207 0.9809  2 Ni 2.27
Ni 0.7207 0.2793 0.0191  2 Ni 2.27
Ni 0.7207 0.2793 0.4809  2 Ni 2.27

***

VASP calculation (PBE) on an optimized crystal structure of VP2Se6.

Results
Space-group type: C2/c (15)
Formation energy from raw total energies (eV per atom): -0.13

Cell lengths 9.0337, 9.0337, 6.0026 Å; angles 99.32, 99.32, 75.39 degrees
With the nearest neighbours (Å) after each atom.
Fractional coordinates of all 18 atoms:
V 0.1268 0.8732 0.7500  6 Se 2.39-2.65
V 0.8732 0.1268 0.2500  6 Se 2.39-2.65
P 0.2197 0.3880 0.6269  3 Se 2.29-2.34
P 0.3880 0.2197 0.1269  3 Se 2.29-2.34
P 0.6120 0.7803 0.8731  3 Se 2.29-2.34
P 0.7803 0.6120 0.3731  3 Se 2.29-2.34
Se 0.0132 0.8416 0.3263  1 Se 2.44, 2 V 2.58-2.65
Se 0.1142 0.6254 0.8274  1 P 2.34, 1 V 2.39
Se 0.1584 0.9868 0.1737  1 Se 2.44, 2 V 2.58-2.65
Se 0.3132 0.4592 0.3380  2 P 2.29-2.32
Se 0.3746 0.8858 0.6726  1 P 2.34, 1 V 2.39
Se 0.4592 0.3132 0.8380  2 P 2.29-2.32
Se 0.5408 0.6868 0.1620  2 P 2.29-2.32
Se 0.6254 0.1142 0.3274  1 P 2.34, 1 V 2.39
Se 0.6868 0.5408 0.6620  2 P 2.29-2.32
Se 0.8416 0.0132 0.8263  1 Se 2.44, 2 V 2.58-2.65
Se 0.8858 0.3746 0.1726  1 P 2.34, 1 V 2.39
Se 0.9868 0.1584 0.6737  1 Se 2.44, 2 V 2.58-2.65

***

VASP calculation (PBE) on an optimized crystal structure of KHg2Cl.

Results
Space-group type: C2/m (12)
Formation energy from raw total energies (eV per atom): -0.85

Cell lengths 7.7433, 7.7433, 4.3167 Å; angles 106.16, 106.16, 132.43 degrees
With the nearest neighbours (Å) after each atom.
Fractional coordinates of all 4 atoms:
K 0.0000 0.0000 0.0000  4 Cl 3.12-3.13
Hg 0.0000 0.5000 0.5000  4 Hg 3.12-3.13
Hg 0.5000 0.0000 0.5000  4 Hg 3.12-3.13
Cl 0.5000 0.5000 0.0000  4 K 3.12-3.13

***

VASP calculation (PBE) on an optimized crystal structure of La3Y2Tm3.

Results
Calculated formation energy (meV per atom): 34
Space-group type: Immm (71)

Cell lengths 10.9706, 10.9706, 10.9706 Å; angles 153.77, 152.83, 38.12 degrees
With the nearest neighbours (Å) after each atom.
Fractional coordinates of all 8 atoms:
La 0.0000 0.0000 0.0000  8 Tm 3.58-3.62, 4 La 3.63
La 0.3769 0.8769 0.5000  6 Tm 3.57-3.58, 2 La 3.63, 4 Y 3.65-3.66
La 0.6231 0.1231 0.5000  6 Tm 3.57-3.58, 2 La 3.63, 4 Y 3.65-3.66
Y 0.2482 0.2482 0.0000  4 Tm 3.54-3.65, 4 Y 3.58, 4 La 3.65-3.66
Y 0.7518 0.7518 0.0000  4 Tm 3.54-3.65, 4 Y 3.58, 4 La 3.65-3.66
Tm 0.1268 0.6268 0.5000  4 Y 3.54-3.65, 6 La 3.58-3.62, 2 Tm 3.68
Tm 0.5000 0.5000 0.0000  8 La 3.57-3.58, 4 Tm 3.68
Tm 0.8732 0.3732 0.5000  4 Y 3.54-3.65, 6 La 3.58-3.62, 2 Tm 3.68

***

VASP calculation (PBE) on an optimized crystal structure of LaAg2NF.

Results
Space-group type: P4/mmm (123)
Formation energy from raw total energies (eV per atom): -0.38

Cell lengths 4.0274, 4.0274, 5.8795 Å; angles 90.00, 90.00, 90.00 degrees
With the nearest neighbours (Å) after each atom.
Fractional coordinates of all 5 atoms:
La 0.0000 0.0000 0.0000  4 F 2.85
Ag 0.0000 0.5000 0.5000  2 N 2.01
Ag 0.5000 0.0000 0.5000  2 N 2.01
N 0.5000 0.5000 0.5000  4 Ag 2.01
F 0.5000 0.5000 0.0000  4 La 2.85, 2 N 2.94

***

VASP calculation (PBE) on an optimized crystal structure of CrInCo2.

Results
Calculated formation energy (meV per atom): 304
Space-group type: Cm (8)

Cell lengths 4.5959, 4.5959, 4.5030 Å; angles 102.79, 102.79, 35.72 degrees
With the nearest neighbours (Å) after each atom.
Fractional coordinates of all 4 atoms:
Cr 0.0000 0.0000 0.0000  5 Co 2.37-2.57
In 0.2340 0.2340 0.6554  7 Co 2.62-2.67, 2 In 2.82, 3 Cr 2.84-2.85
Co 0.4776 0.4776 0.4109  2 Cr 2.37, 2 Co 2.59, 1 In 2.62
Co 0.7351 0.7351 0.1533  3 Cr 2.46-2.57, 2 Co 2.59, 4 In 2.65-2.67

***

| no. | mass density (g/cm3) |
| --- | --- |
| 1 | 10.786 |
| 2 | 3.931 |
| 3 | 8.329 |
| 4 | 4.804 |
| 5 | 8.817 |
| 6 | 10.513 |
| 7 | 2.232 |
| 8 | 4.199 |
| 9 | 5.716 |
| 10 | 6.875 |
| 11 | 6.750 |
| 12 | 8.753 |